# BeZnTeO

A relaxed structure of BeZnTeO (PBE-GGA, OQMD).

Output
SG: P2_12_12_1
excess energy over the best structure of this formula in the dataset: 0.2125 eV/atom

Cell lengths 5.731, 7.855, 6.948 Å; angles 90.00, 90.00, 90.00 degrees
Positions (direct):
Be 0.367 0.725 0.177
Be 0.633 0.225 0.323
Be 0.133 0.275 0.677
Be 0.867 0.775 0.823
O 0.525 0.214 0.132
O 0.475 0.714 0.368
O 0.975 0.786 0.632
O 0.025 0.286 0.868
Te 0.022 0.892 0.119
Te 0.978 0.392 0.381
Te 0.478 0.108 0.619
Te 0.522 0.608 0.881
Zn 0.188 0.219 0.104
Zn 0.812 0.719 0.396
Zn 0.312 0.781 0.604
Zn 0.688 0.281 0.896